1.
Material: SmEr2Cu
Method: DFT, PBE-GGA
State: relaxed

The energy of formation from the pure elements is 0.0231 eV per atom. For the energy above the most stable polymorph in this dataset, the calculation gives 134 meV per atom. The uncorrected energy comes out at -4.46 eV per atom. Its crystal system is trigonal. Its spin magnetization is 0.000 μB/atom. Its density of states at the Fermi level is 1.4139 states/eV/atom.

The structure belongs to space group R-3m (No. 166, hexagonal axes); the cell edges are 3.5965, 3.5965 and 29.5051 Å and the angles 90.00°, 90.00° and 120.00°. The asymmetric unit holds Sm at (0.0000, 0.0000, 0.0000), Er at (0.0000, 0.0000, 0.2332) and Cu at (0.0000, 0.0000, 0.5000).

---

2.
Material: Sm2Er3Cu2
Method: DFT, PBE-GGA
State: relaxed

The energy of formation from the pure elements is -0.1207 eV per atom. The uncorrected energy comes out at -4.59 eV per atom. Its crystal system is monoclinic. Its spin magnetization is 0.000 μB/atom. Its density of states at the Fermi level is 1.2498 states/eV/atom.

The structure belongs to space group C2/m (No. 12); the cell edges are 12.583, 3.609 and 9.046 Å and the angles 90.00°, 117.44° and 90.00°. The asymmetric unit holds Sm at (0.155, 0.000, 0.313), Er at (0.000, 0.500, 0.500), Er at (0.115, 0.500, 0.944) and Cu at (0.166, 0.000, 0.733).

---

3.
Material: SmErCu
Method: DFT, PBE-GGA
State: relaxed

The energy of formation from the pure elements is -0.1213 eV per atom. For the energy above the most stable polymorph in this dataset, the calculation gives 0 meV per atom. The uncorrected energy comes out at -4.58 eV per atom. Its crystal system is tetragonal. Its spin magnetization is 0.000 μB/atom. Its density of states at the Fermi level is 1.0474 states/eV/atom.

The structure belongs to space group I4mm (No. 107); the cell edges are 3.490, 3.490 and 12.423 Å and the angles 90.00°, 90.00° and 90.00°. The asymmetric unit holds Sm at (0.000, 0.000, 0.000), Er at (0.000, 0.000, 0.278) and Cu at (0.000, 0.000, 0.652).

---

4.
Material: SmEr2Cu6
Method: DFT, PBE-GGA
State: relaxed

The energy of formation from the pure elements is -0.2507 eV per atom. The uncorrected energy comes out at -4.52 eV per atom. Its crystal system is hexagonal. Its spin magnetization is 0.000 μB/atom. Its density of states at the Fermi level is 0.5221 states/eV/atom.

The structure belongs to space group P6/mmm (No. 191); the cell edges are 7.3242, 7.3242 and 3.5734 Å and the angles 90.00°, 90.00° and 120.00°. The asymmetric unit holds Sm at (0.0000, 0.0000, 0.0000), Er at (0.3333, 0.6667, 0.0000) and Cu at (0.0000, 0.3354, 0.5000).

---

5.
Material: TbSmErCu
Method: DFT, PBE-GGA
State: relaxed

The energy of formation from the pure elements is -0.1030 eV per atom. The uncorrected energy comes out at -4.61 eV per atom. Its crystal system is tetragonal. Its spin magnetization is 0.000 μB/atom. Its density of states at the Fermi level is 1.0505 states/eV/atom.

The structure belongs to space group P4mm (No. 99); the cell edges are 3.506, 3.506 and 8.674 Å and the angles 90.00°, 90.00° and 90.00°. The asymmetric unit holds Tb at (0.000, 0.000, 0.000), Sm at (0.500, 0.500, 0.308), Er at (0.000, 0.000, 0.612) and Cu at (0.500, 0.500, 0.799).

---

6.
Material: SmErTlCu
Method: DFT, PBE-GGA
State: relaxed

The energy of formation from the pure elements is -0.2317 eV per atom. The uncorrected energy comes out at -4.17 eV per atom. Its crystal system is cubic. Its spin magnetization is 0.000 μB/atom. Its density of states at the Fermi level is 0.8712 states/eV/atom.

The structure belongs to space group F-43m (No. 216); the cell edges are 7.370, 7.370 and 7.370 Å and the angles 90.00°, 90.00° and 90.00°. The asymmetric unit holds Sm at (0.000, 0.000, 0.000), Er at (0.000, 0.000, 0.500), Tl at (0.250, 0.250, 0.250) and Cu at (0.250, 0.250, 0.750).

---

7.
Material: SmErTmCu
Method: DFT, PBE-GGA
State: relaxed

The energy of formation from the pure elements is -0.1129 eV per atom. The uncorrected energy comes out at -4.58 eV per atom. Its crystal system is tetragonal. Its spin magnetization is 0.000 μB/atom. Its density of states at the Fermi level is 1.1432 states/eV/atom.

The structure belongs to space group P4mm (No. 99); the cell edges are 3.466, 3.466 and 8.686 Å and the angles 90.00°, 90.00° and 90.00°. The asymmetric unit holds Sm at (0.000, 0.000, 0.000), Er at (0.500, 0.500, 0.693), Tm at (0.500, 0.500, 0.306) and Cu at (0.000, 0.000, 0.497).

---

8.
Material: SmYErCu
Method: DFT, PBE-GGA
State: relaxed

The energy of formation from the pure elements is -0.1027 eV per atom. The uncorrected energy comes out at -5.06 eV per atom. Its crystal system is tetragonal. Its spin magnetization is 0.000 μB/atom. Its density of states at the Fermi level is 1.1407 states/eV/atom.

The structure belongs to space group P4mm (No. 99); the cell edges are 3.498, 3.498 and 8.736 Å and the angles 90.00°, 90.00° and 90.00°. The asymmetric unit holds Sm at (0.000, 0.000, 0.000), Y at (0.500, 0.500, 0.691), Er at (0.500, 0.500, 0.303) and Cu at (0.000, 0.000, 0.489).

---

9.
Material: Sm2ErZn12Cu3
Method: DFT, PBE-GGA
State: relaxed

The energy of formation from the pure elements is -0.0168 eV per atom. The uncorrected energy comes out at -2.33 eV per atom. Its crystal system is trigonal. Its spin magnetization is 0.000 μB/atom. Its density of states at the Fermi level is 0.5023 states/eV/atom.

The structure belongs to space group R-3m (No. 166, hexagonal axes); the cell edges are 6.5011, 6.5011 and 27.9287 Å and the angles 90.00°, 90.00° and 120.00°. The asymmetric unit holds Sm at (0.0000, 0.0000, 0.1429), Er at (0.0000, 0.0000, 0.5000), Zn at (0.0607, 0.5303, 0.9052), Zn at (0.0678, 0.5339, 0.7126) and Cu at (0.0000, 0.5000, 0.0000).

---

10.
Material: ErCu9Sn2
Method: DFT, PBE-GGA
State: relaxed

The energy of formation from the pure elements is -0.1130 eV per atom. For the energy above the most stable polymorph in this dataset, the calculation gives 36 meV per atom. The uncorrected energy comes out at -4.23 eV per atom. Its crystal system is trigonal. Its spin magnetization is 0.000 μB/atom. Its density of states at the Fermi level is 0.5216 states/eV/atom.

The structure belongs to space group R-3m (No. 166, hexagonal axes); the cell edges are 5.0578, 5.0578 and 24.5514 Å and the angles 90.00°, 90.00° and 120.00°. The asymmetric unit holds Er at (0.0000, 0.0000, 0.0000), Cu at (0.0000, 0.0000, 0.3337), Cu at (0.0000, 0.0000, 0.5000), Cu at (0.0023, 0.5012, 0.9171) and Sn at (0.0000, 0.0000, 0.1380).

---

11.
Material: ErCuSn
Method: DFT, PBE-GGA
State: relaxed

The energy of formation from the pure elements is -0.4846 eV per atom. The uncorrected energy comes out at -4.71 eV per atom. Its crystal system is triclinic. Its spin magnetization is 0.000 μB/atom. Its density of states at the Fermi level is 0.5827 states/eV/atom.

The structure belongs to space group P-1 (No. 2); the cell edges are 4.251, 5.864 and 5.985 Å and the angles 73.76°, 69.23° and 68.80°. The asymmetric unit holds Er at (0.058, 0.203, 0.180), Cu at (0.358, 0.591, 0.189) and Sn at (0.325, 0.239, 0.612).

---

12.
Material: Er2CuSn
Method: DFT, PBE-GGA
State: relaxed

The energy of formation from the pure elements is -0.4864 eV per atom. The uncorrected energy comes out at -4.79 eV per atom. Its crystal system is monoclinic. Its spin magnetization is 0.000 μB/atom. Its density of states at the Fermi level is 0.8474 states/eV/atom.

The structure belongs to space group P2_1/m (No. 11); the cell edges are 6.039, 4.345 and 7.879 Å and the angles 90.00°, 110.53° and 90.00°. The asymmetric unit holds Er at (0.196, 0.250, 0.441), Er at (0.216, 0.250, 0.909), Cu at (0.352, 0.750, 0.709) and Sn at (0.336, 0.750, 0.213).

---

13.
Material: ErCu5Sn
Method: DFT, PBE-GGA
State: relaxed

The energy of formation from the pure elements is -0.2576 eV per atom. The uncorrected energy comes out at -4.41 eV per atom. Its crystal system is orthorhombic. Its spin magnetization is 0.000 μB/atom. Its density of states at the Fermi level is 0.2207 states/eV/atom.

The structure belongs to space group Pnma (No. 62); the cell edges are 8.215, 4.989 and 10.583 Å and the angles 90.00°, 90.00° and 90.00°. The asymmetric unit holds Er at (0.249, 0.250, 0.062), Cu at (0.058, 0.250, 0.601), Cu at (0.068, 0.501, 0.812), Cu at (0.085, 0.750, 0.017), Cu at (0.184, 0.750, 0.242) and Sn at (0.138, 0.250, 0.361).

---

14.
Material: Er5Cu2Sn
Method: DFT, PBE-GGA
State: relaxed

The energy of formation from the pure elements is -0.3574 eV per atom. The uncorrected energy comes out at -4.73 eV per atom. Its crystal system is tetragonal. Its spin magnetization is 0.000 μB/atom. Its density of states at the Fermi level is 1.0849 states/eV/atom.

The structure belongs to space group I4/mcm (No. 140); the cell edges are 7.790, 7.790 and 13.005 Å and the angles 90.00°, 90.00° and 90.00°. The asymmetric unit holds Er at (0.000, 0.000, 0.000), Er at (0.157, 0.343, 0.142), Cu at (0.128, 0.372, 0.500) and Sn at (0.000, 0.000, 0.250).

---

15.
Material: Er2CuSn
Method: DFT, PBE-GGA
State: relaxed

The energy of formation from the pure elements is 0.0871 eV per atom. The uncorrected energy comes out at -4.22 eV per atom. Its crystal system is trigonal. Its spin magnetization is 0.000 μB/atom. Its density of states at the Fermi level is 1.0831 states/eV/atom.

The structure belongs to space group R-3m (No. 166, hexagonal axes); the cell edges are 3.5808, 3.5808 and 30.0192 Å and the angles 90.00°, 90.00° and 120.00°. The asymmetric unit holds Er at (0.0000, 0.0000, 0.1030), Cu at (0.0000, 0.0000, 0.5000) and Sn at (0.0000, 0.0000, 0.0000).

---

16.
Material: Er5CuSn4
Method: DFT, PBE-GGA
State: relaxed

The energy of formation from the pure elements is -0.3651 eV per atom. The uncorrected energy comes out at -4.66 eV per atom. Its crystal system is tetragonal. Its spin magnetization is 0.000 μB/atom. Its density of states at the Fermi level is 0.8352 states/eV/atom.

The structure belongs to space group I4 (No. 79); the cell edges are 9.537, 9.537 and 6.139 Å and the angles 90.00°, 90.00° and 90.00°. The asymmetric unit holds Er at (0.000, 0.000, 0.000), Er at (0.092, 0.704, 0.357), Cu at (0.000, 0.000, 0.499) and Sn at (0.097, 0.711, 0.852).

---

17.
Material: Er3Cu6Sn5
Method: DFT, PBE-GGA
State: relaxed

The energy of formation from the pure elements is -0.3735 eV per atom. The uncorrected energy comes out at -4.54 eV per atom. Its crystal system is orthorhombic. Its spin magnetization is 0.000 μB/atom. Its density of states at the Fermi level is 0.2719 states/eV/atom.

The structure belongs to space group Immm (No. 71); the cell edges are 4.313, 9.927 and 12.712 Å and the angles 90.00°, 90.00° and 90.00°. The asymmetric unit holds Er at (0.000, 0.000, 0.000), Er at (0.000, 0.000, 0.310), Cu at (0.000, 0.188, 0.500), Cu at (0.000, 0.287, 0.127), Sn at (0.000, 0.353, 0.337) and Sn at (0.000, 0.500, 0.000).

---

18.
Material: Er2CuSn
Method: DFT, PBE-GGA
State: relaxed

The energy of formation from the pure elements is -0.4233 eV per atom. The uncorrected energy comes out at -4.73 eV per atom. Its crystal system is tetragonal. Its spin magnetization is 0.000 μB/atom. Its density of states at the Fermi level is 0.6966 states/eV/atom.

The structure belongs to space group P4/mmm (No. 123); the cell edges are 3.467, 3.467 and 7.691 Å and the angles 90.00°, 90.00° and 90.00°. The asymmetric unit holds Er at (0.000, 0.000, 0.225), Cu at (0.500, 0.500, 0.000) and Sn at (0.500, 0.500, 0.500).

---

19.
Material: ErCuSn3
Method: DFT, PBE-GGA
State: relaxed

The energy of formation from the pure elements is -0.3219 eV per atom. The uncorrected energy comes out at -4.46 eV per atom. Its crystal system is orthorhombic. Its spin magnetization is 0.000 μB/atom. Its density of states at the Fermi level is 0.5833 states/eV/atom.

The structure belongs to space group Pbcm (No. 57); the cell edges are 12.362, 6.188 and 6.084 Å and the angles 90.00°, 90.00° and 90.00°. The asymmetric unit holds Er at (0.197, 0.007, 0.250), Cu at (0.381, 0.250, 0.000), Sn at (0.001, 0.250, 0.000), Sn at (0.258, 0.518, 0.250) and Sn at (0.445, 0.606, 0.750).

---

20.
Material: Er4CuSn2
Method: DFT, PBE-GGA
State: relaxed

The energy of formation from the pure elements is -0.4686 eV per atom. The uncorrected energy comes out at -4.80 eV per atom. Its crystal system is monoclinic. Its spin magnetization is 0.000 μB/atom. Its density of states at the Fermi level is 0.6650 states/eV/atom.

The structure belongs to space group P2_1/m (No. 11); the cell edges are 6.664, 6.565 and 8.617 Å and the angles 90.00°, 102.18° and 90.00°. The asymmetric unit holds Er at (0.162, 0.006, 0.285), Er at (0.316, 0.250, 0.936), Er at (0.327, 0.750, 0.666), Cu at (0.050, 0.250, 0.553), Sn at (0.172, 0.750, 0.973) and Sn at (0.435, 0.250, 0.606).